A geometry-optimized EuHoH structure, computed with PBE.

Output
The calculation puts the calculated volume at 22.688 A^3/atom. As for the calculated total energy: -0.229 hartree per atom. The calculation puts the density of states at the Fermi level at 3.3 states/eV/f.u. As for the energy above the most stable polymorph in this dataset: 0.091 eV per atom.

The structure in POSCAR format:
```
EuHoH
1.0
3.647 0.000 0.000
-1.824 3.159 0.000
0.000 0.000 5.908
H Eu Ho
1 1 1
direct
0.333 0.667 0.649
0.000 0.000 0.918
0.667 0.333 0.433
```